An optimized crystal structure of TcAg2PdF8. Source: the Alexandria database, functional PBE.

Calculated total energy in eV per atom: -4.530
Formation energy (no corrections) in eV/f.u.: -18.1

a = 5.166 Å, b = 5.299 Å, c = 7.260 Å
α = 84.57°, β = 86.46°, γ = 84.66°
Space group P-1 (No. 2)
Unique sites:
Tc 0.000 0.000 0.000
Ag 0.467 0.492 0.254
Pd 0.000 0.000 0.500
F 0.113 0.133 0.230
F 0.139 0.276 0.840
F 0.299 0.734 0.498
F 0.329 0.783 0.980



An optimized crystal structure of RbInBiSe3. Source: the Alexandria database, functional PBE.

Calculated total energy in eV per atom: -3.618
Formation energy (no corrections) in eV/f.u.: -3.7

a = 9.071 Å, b = 4.829 Å, c = 10.326 Å
α = 90.00°, β = 105.45°, γ = 90.00°
Space group P2_1/m (No. 11)
Unique sites:
Rb 0.197 0.250 0.222
In 0.118 0.250 0.601
Bi 0.337 0.750 0.873
Se 0.124 0.250 0.862
Se 0.202 0.750 0.525
Se 0.453 0.750 0.146



An optimized crystal structure of Ba2SrTlNi. Source: the Alexandria database, functional PBE.

Formation energy in eV/f.u.: -0.1
Calculated total energy in eV per atom: -2.762

a = 6.125 Å, b = 6.125 Å, c = 5.248 Å
α = 90.00°, β = 90.00°, γ = 90.00°
Space group P4/mmm (No. 123)
Unique sites:
Ba 0.000 0.500 0.000
Sr 0.000 0.000 0.500
Tl 0.500 0.500 0.500
Ni 0.500 0.500 0.000



An optimized crystal structure of Ca2CuRh. Source: the Alexandria database, functional PBE.

Formation energy in eV/f.u.: -0.1
Calculated total energy in eV per atom: -3.886

a = 6.845 Å, b = 6.845 Å, c = 6.845 Å
α = 90.00°, β = 90.00°, γ = 90.00°
Space group F-43m (No. 216)
Unique sites:
Ca 0.000 0.000 0.000
Ca 0.250 0.250 0.250
Cu 0.000 0.000 0.500
Rh 0.250 0.250 0.750



Q: What is the formula in the first record?
A: TcAg2PdF8



Repeat the second record exactly.
An optimized crystal structure of RbInBiSe3. Source: the Alexandria database, functional PBE.

Calculated total energy in eV per atom: -3.618
Formation energy (no corrections) in eV/f.u.: -3.7

a = 9.071 Å, b = 4.829 Å, c = 10.326 Å
α = 90.00°, β = 105.45°, γ = 90.00°
Space group P2_1/m (No. 11)
Unique sites:
Rb 0.197 0.250 0.222
In 0.118 0.250 0.601
Bi 0.337 0.750 0.873
Se 0.124 0.250 0.862
Se 0.202 0.750 0.525
Se 0.453 0.750 0.146



Q: What is the formula in the second record?
A: RbInBiSe3